# Li3Ac3Ag2 PBE-GGA optimized geometry
# Density = 6.6 Mg/m³
# Formation energy = -103 meV/atom
data_Li3Ac3Ag2
_chemical_formula_sum 'Li12 Ac12 Ag8'
_space_group_name_H-M_alt 'P n m a'
_space_group_IT_number 62
_space_group_name_Hall '-P 2ac 2n'
_cell_length_a 8.490
_cell_length_b 17.456
_cell_length_c 6.192
_cell_angle_alpha 90.00
_cell_angle_beta 90.00
_cell_angle_gamma 90.00
loop_
_atom_site_label
_atom_site_fract_x
_atom_site_fract_y
_atom_site_fract_z
Li1 0.169 0.033 0.095
Li2 0.181 0.750 0.110
Ac1 0.028 0.111 0.611
Ac2 0.169 0.250 0.118
Ag1 0.120 0.610 0.882

# Li5Ac4Ag6 PBE-GGA optimized geometry
# Density = 6.6 Mg/m³
# Formation energy = -148 meV/atom
data_Li5Ac4Ag6
_chemical_formula_sum 'Li20 Ac16 Ag24'
_space_group_name_H-M_alt 'C m c 21'
_space_group_IT_number 36
_space_group_name_Hall 'C 2c -2'
_cell_length_a 4.468
_cell_length_b 21.658
_cell_length_c 16.636
_cell_angle_alpha 90.00
_cell_angle_beta 90.00
_cell_angle_gamma 90.00
loop_
_atom_site_label
_atom_site_fract_x
_atom_site_fract_y
_atom_site_fract_z
Li1 0.000 0.065 0.000
Li2 0.000 0.145 0.333
Li3 0.000 0.162 0.594
Li4 0.000 0.199 0.953
Li5 0.000 0.344 0.966
Ac1 0.000 0.316 0.276
Ac2 0.000 0.337 0.643
Ac3 0.000 0.471 0.106
Ac4 0.000 0.490 0.846
Ag1 0.000 0.059 0.202
Ag2 0.000 0.072 0.470
Ag3 0.000 0.076 0.741
Ag4 0.000 0.268 0.092
Ag5 0.000 0.286 0.826
Ag6 0.000 0.382 0.454

# LiAc2Ag9 PBE-GGA optimized geometry
# Density = 8.7 Mg/m³
# Formation energy = -90 meV/atom
data_LiAc2Ag9
_chemical_formula_sum 'Li3 Ac6 Ag27'
_space_group_name_H-M_alt 'R -3 m'
_space_group_IT_number 166
_space_group_name_Hall '-R 3 2"'
_cell_length_a 5.7862
_cell_length_b 5.7862
_cell_length_c 28.4195
_cell_angle_alpha 90.00
_cell_angle_beta 90.00
_cell_angle_gamma 120.00
loop_
_atom_site_label
_atom_site_fract_x
_atom_site_fract_y
_atom_site_fract_z
Li1 0.0000 0.0000 0.0000
Ac1 0.0000 0.0000 0.1372
Ag1 0.0000 0.0000 0.3332
Ag2 0.0000 0.0000 0.5000
Ag3 0.0021 0.5010 0.9187

# LiAc3Ag8 PBE-GGA optimized geometry
# Density = 9.0 Mg/m³
# Formation energy = -155 meV/atom
data_LiAc3Ag8
_chemical_formula_sum 'Li3 Ac9 Ag24'
_space_group_name_H-M_alt 'R 3 m'
_space_group_IT_number 160
_space_group_name_Hall 'R 3 -2"'
_cell_length_a 5.8571
_cell_length_b 5.8571
_cell_length_c 29.0325
_cell_angle_alpha 90.00
_cell_angle_beta 90.00
_cell_angle_gamma 120.00
loop_
_atom_site_label
_atom_site_fract_x
_atom_site_fract_y
_atom_site_fract_z
Li1 0.0000 0.0000 0.0000
Ac1 0.0000 0.0000 0.1208
Ac2 0.0000 0.0000 0.5084
Ac3 0.0000 0.0000 0.6358
Ag1 0.0000 0.0000 0.3182
Ag2 0.0000 0.0000 0.8165
Ag3 0.0021 0.5010 0.5691
Ag4 0.0055 0.5027 0.0654

# LiAc2Ag4 PBE-GGA optimized geometry
# Density = 7.3 Mg/m³
# Formation energy = -95 meV/atom
data_LiAc2Ag4
_chemical_formula_sum 'Li2 Ac4 Ag8'
_space_group_name_H-M_alt 'C m m m'
_space_group_IT_number 65
_space_group_name_Hall '-C 2 2'
_cell_length_a 5.813
_cell_length_b 14.812
_cell_length_c 4.717
_cell_angle_alpha 90.00
_cell_angle_beta 90.00
_cell_angle_gamma 90.00
loop_
_atom_site_label
_atom_site_fract_x
_atom_site_fract_y
_atom_site_fract_z
Li1 0.000 0.000 0.000
Ac1 0.000 0.342 0.500
Ag1 0.000 0.091 0.500
Ag2 0.000 0.196 0.000

# Li4AcAg4 PBE-GGA optimized geometry
# Density = 6.4 Mg/m³
# Formation energy = -152 meV/atom
data_Li4AcAg4
_chemical_formula_sum 'Li8 Ac2 Ag8'
_space_group_name_H-M_alt 'I 4/m'
_space_group_IT_number 87
_space_group_name_Hall '-I 4'
_cell_length_a 8.626
_cell_length_b 8.626
_cell_length_c 4.772
_cell_angle_alpha 90.00
_cell_angle_beta 90.00
_cell_angle_gamma 90.00
loop_
_atom_site_label
_atom_site_fract_x
_atom_site_fract_y
_atom_site_fract_z
Li1 0.079 0.377 0.000
Ac1 0.000 0.000 0.000
Ag1 0.145 0.240 0.500

Q: Among the records above, which one has the highest formation energy?
A: LiAc2Ag9

Q: What is the formula in the fifth record?
A: LiAc2Ag4

What did the sixth record say?
# Li4AcAg4 PBE-GGA optimized geometry
# Density = 6.4 Mg/m³
# Formation energy = -152 meV/atom
data_Li4AcAg4
_chemical_formula_sum 'Li8 Ac2 Ag8'
_space_group_name_H-M_alt 'I 4/m'
_space_group_IT_number 87
_space_group_name_Hall '-I 4'
_cell_length_a 8.626
_cell_length_b 8.626
_cell_length_c 4.772
_cell_angle_alpha 90.00
_cell_angle_beta 90.00
_cell_angle_gamma 90.00
loop_
_atom_site_label
_atom_site_fract_x
_atom_site_fract_y
_atom_site_fract_z
Li1 0.079 0.377 0.000
Ac1 0.000 0.000 0.000
Ag1 0.145 0.240 0.500